VASP calculation (PBE-GGA) on an optimized crystal structure of AsI3F.

Output
The density of states at the Fermi level is 4.55 states/eV/atom. The value obtained for the volume is 179.0 Å³ per cell. The formation energy without anion corrections is 0.079 eV/atom. As for the size of the total moment: 0.7 μB/cell. Its total energy is -10.78 eV per cell. The calculation puts the relative energy among the computed polymorphs at 0.0 kJ/mol of atoms.

Unit cell a=5.636 b=5.636 c=5.636 alpha=90.00 beta=90.00 gamma=90.00
Sites, in units of the cell vectors:
I 0.000 0.000 0.500
As 0.000 0.000 0.000
I 0.000 0.500 0.000
F 0.500 0.500 0.500
I 0.500 0.000 0.000


VASP calculation (PBE-GGA) on an optimized crystal structure of DyTlPb3.

Output
The density of states at the Fermi level is 0.68 states/eV/atom. The value obtained for the volume is 335.8 Å³ per cell. As for the size of the total moment: 0.0 μB/cell. Its total energy is -36.21 eV per cell. As for the energy relative to the elements: 0 kJ per mole of atoms.

Unit cell a=5.996 b=7.490 c=7.478 alpha=90.80 beta=90.00 gamma=90.00
Sites, in units of the cell vectors:
Tl 0.750 0.432 0.568
Pb 0.250 0.603 0.007
Pb 0.000 0.000 0.000
Tl 0.250 0.568 0.432
Pb 0.750 0.008 0.603
Dy 0.750 0.731 0.269
Pb 0.750 0.397 0.993
Dy 0.250 0.269 0.731
Pb 0.250 0.992 0.397
Pb 0.500 0.000 0.000


VASP calculation (PBE-GGA) on an optimized crystal structure of Dy3HoTm6Th2.

Output
The density of states at the Fermi level is 1.32 states/eV/atom. The value obtained for the volume is 369.7 Å³ per cell. As for the size of the total moment: 0.0 μB/cell. Its total energy is -59.78 eV per cell. As for the energy relative to the elements: 2 kJ per mole of atoms.

Unit cell a=6.106 b=6.106 c=11.627 alpha=95.03 beta=95.03 gamma=119.97
Sites, in units of the cell vectors:
Tm 0.420 0.083 0.248
Dy 0.834 0.166 0.500
Ho 0.000 0.000 0.000
Th 0.667 0.333 0.000
Tm 0.083 0.420 0.248
Th 0.333 0.667 0.000
Dy 0.500 0.500 0.500
Tm 0.746 0.746 0.248
Tm 0.254 0.254 0.752
Tm 0.917 0.580 0.752
Dy 0.166 0.834 0.500
Tm 0.580 0.917 0.752